w.
GGA-PBEsol Ir2Pb, optimized geometry; size of the total moment = 0.00 μB per atom; density = 18.87 g/cm³; D(E_F) = 5.29 states/eV/cell
1.0
-0.331 1.172 -3.328
-2.339 -2.575 -0.674
-1.755 3.198 3.187
Ir Pb
2 1
Cartesian
-2.423 0.177 -1.583
-2.002 1.617 0.769
0.000 0.000 0.000



x.
GGA-PBEsol Ir2Pb, optimized geometry; size of the total moment = 0.00 μB per atom; density = 18.33 g/cm³; D(E_F) = 4.64 states/eV/cell
1.0
2.928 0.000 0.000
0.000 5.923 0.001
-1.464 -2.832 6.181
Pb Ir
2 4
Cartesian
1.464 -0.016 2.405
0.000 3.107 3.777
0.000 -0.163 4.849
1.464 3.254 1.333
0.000 1.217 0.308
1.464 1.874 5.874



The most stable of them is x.



w.
GGA-PBEsol Ir2Pb, optimized geometry; size of the total moment = 0.00 μB per atom; density = 16.23 g/cm³; D(E_F) = 6.03 states/eV/cell
1.0
3.999 0.000 0.000
0.000 3.999 0.000
-1.999 -1.999 7.570
Ir Pb
4 2
Cartesian
0.000 0.000 6.376
1.999 0.000 4.979
1.999 0.000 2.591
1.999 1.999 1.194
0.000 0.000 0.000
0.000 1.999 3.785



x.
GGA-PBEsol Ir2Pb, optimized geometry; size of the total moment = 0.00 μB per atom; density = 18.01 g/cm³; D(E_F) = 4.12 states/eV/cell
1.0
-1.548 0.943 -2.209
-3.061 -3.213 2.621
-2.230 6.100 4.168
Ir Pb
4 2
Cartesian
-3.807 -0.444 2.478
-3.336 2.059 3.216
-2.845 1.361 0.726
-0.445 0.240 0.414
-1.466 3.901 2.693
-4.916 4.716 3.610



y.
GGA-PBEsol Ir2Pb, optimized geometry; size of the total moment = 0.00 μB per atom; density = 18.48 g/cm³; D(E_F) = 3.25 states/eV/cell
1.0
3.077 0.000 0.000
0.000 4.466 0.000
0.000 -2.233 3.868
Ir Pb
2 1
Cartesian
1.539 2.233 1.289
1.539 0.000 2.579
0.000 0.000 0.000



z.
GGA-PBEsol Ir2Pb, optimized geometry; size of the total moment = 0.00 μB per atom; density = 16.88 g/cm³; D(E_F) = 4.28 states/eV/cell
1.0
-0.321 -3.311 -2.802
2.480 -3.536 0.518
-1.799 -3.753 1.265
Pb Ir
1 2
Cartesian
0.000 0.000 0.000
0.270 -7.949 -0.765
0.090 -2.650 -0.255



The most stable of them is x.



w.
GGA-PBEsol IrPb3, optimized geometry; size of the total moment = 0.00 μB per atom; density = 14.19 g/cm³; D(E_F) = 2.63 states/eV/cell
1.0
-1.255 2.694 -1.419
-4.865 -2.429 2.241
3.741 2.423 3.837
Pb Ir
3 1
Cartesian
1.243 2.558 1.209
-3.060 0.133 0.411
-0.562 -0.003 3.039
0.000 0.000 0.000



x.
GGA-PBEsol IrPb3, optimized geometry; size of the total moment = 0.05 μB per atom; density = 14.11 g/cm³; D(E_F) = 3.91 states/eV/cell
1.0
3.346 0.000 0.019
0.000 3.334 0.000
-0.052 0.000 8.585
Ir Pb
1 3
Cartesian
0.000 0.000 0.000
1.663 1.667 1.706
-0.026 0.000 4.293
1.631 1.667 6.898



y.
GGA-PBEsol IrPb3, optimized geometry; size of the total moment = 0.00 μB per atom; density = 14.30 g/cm³; D(E_F) = 2.77 states/eV/cell
1.0
-4.361 0.862 0.993
-1.309 -2.532 -3.553
-0.120 -3.687 2.672
Ir Pb
1 3
Cartesian
0.000 0.000 0.000
-0.715 -3.110 -0.441
-2.835 -0.835 -1.280
-2.241 -1.413 1.832



The most stable of them is x.



w.
GGA-PBEsol IrPtPb, optimized geometry; size of the total moment = 0.00 μB per atom; density = 18.76 g/cm³; D(E_F) = 1.68 states/eV/cell
1.0
3.086 0.000 0.000
0.000 4.438 0.000
0.000 -2.219 3.843
Pb Ir Pt
1 1 1
Cartesian
2.074 2.219 1.281
3.014 0.000 0.000
1.084 0.000 2.562



x.
GGA-PBEsol IrPtPb, optimized geometry; size of the total moment = 0.00 μB per atom; density = 16.41 g/cm³; D(E_F) = 2.51 states/eV/cell
1.0
4.398 0.000 0.000
2.199 3.809 0.000
2.199 1.270 3.591
Ir Pt Pb
1 1 1
Cartesian
2.199 1.270 0.898
4.398 2.539 1.795
0.000 0.000 0.000



The most stable of them is x.



w.
GGA-PBEsol IrPtPb2, optimized geometry; size of the total moment = 0.00 μB per atom; density = 17.11 g/cm³; D(E_F) = 2.19 states/eV/cell
1.0
-0.890 0.447 -3.933
-1.623 -3.718 -0.056
-2.950 3.454 3.152
Pb Pt Ir
2 1 1
Cartesian
-2.548 1.133 -1.387
0.000 0.000 0.000
-1.256 -1.635 -1.994
-2.915 -0.949 0.551



x.
GGA-PBEsol IrPtPb2, optimized geometry; size of the total moment = 0.00 μB per atom; density = 16.87 g/cm³; D(E_F) = 2.93 states/eV/cell
1.0
3.254 0.000 0.000
1.627 2.818 0.000
1.627 0.939 8.609
Ir Pt Pb
1 1 2
Cartesian
0.000 0.000 0.000
3.254 1.878 4.305
1.627 0.939 2.111
4.880 2.818 6.499



The most stable of them is w.



w.
GGA-PBEsol SbIr2Pb, optimized geometry; size of the total moment = 0.00 μB per atom; density = 15.82 g/cm³; D(E_F) = 2.95 states/eV/cell
1.0
-1.655 2.329 -3.771
-4.194 2.179 0.218
-0.211 4.726 0.043
Sb Ir Pb
1 2 1
Cartesian
-1.515 2.309 -0.878
0.000 0.000 0.000
-4.544 6.926 -2.633
-3.030 4.617 -1.755



x.
GGA-PBEsol SbIr2Pb, optimized geometry; size of the total moment = 0.00 μB per atom; density = 15.49 g/cm³; D(E_F) = 2.61 states/eV/cell
1.0
3.705 0.000 0.000
0.000 3.923 0.000
-1.853 0.000 5.261
Pb Sb Ir
1 1 2
Cartesian
0.000 0.000 1.060
0.000 1.962 4.224
1.853 1.962 1.755
1.853 0.000 3.532



The most stable of them is x.



w.
GGA-PBEsol TeIr2Pb, optimized geometry; size of the total moment = 0.00 μB per atom; density = 13.09 g/cm³; D(E_F) = 3.60 states/eV/cell
1.0
-0.962 -2.471 -3.109
2.951 -1.067 2.618
-4.609 -0.899 4.825
Pb Te Ir
1 1 2
Cartesian
-1.113 -1.176 3.963
0.947 -2.011 1.303
-2.383 -4.276 4.132
-3.520 -2.394 2.991



x.
GGA-PBEsol TeIr2Pb, optimized geometry; size of the total moment = 0.00 μB per atom; density = 15.57 g/cm³; D(E_F) = 3.19 states/eV/cell
1.0
3.085 0.000 0.000
0.000 5.324 0.000
-1.542 -2.662 4.671
Te Ir Pb
1 2 1
Cartesian
0.000 2.662 0.000
1.542 2.662 2.246
0.000 0.000 2.425
1.542 0.000 0.000



The most stable of them is w.



w.
GGA-PBEsol Tl2IrPb, optimized geometry; size of the total moment = 0.00 μB per atom; density = 14.28 g/cm³; D(E_F) = 1.96 states/eV/cell
1.0
-1.384 2.410 -1.679
-1.728 -2.169 -1.689
-6.517 0.477 6.056
Tl Ir Pb
2 1 1
Cartesian
-6.131 0.456 2.567
-6.442 0.472 5.987
-3.270 0.240 3.039
-3.561 0.267 0.179



x.
GGA-PBEsol Tl2IrPb, optimized geometry; size of the total moment = 0.00 μB per atom; density = 13.54 g/cm³; D(E_F) = 1.87 states/eV/cell
1.0
3.181 0.000 0.000
-1.591 3.619 0.027
0.000 -1.221 8.596
Tl Pb Ir
2 1 1
Cartesian
0.000 -1.210 8.529
0.000 0.849 6.053
1.591 1.538 2.636
1.591 -0.609 4.299



The most stable of them is w.



w.
GGA-PBEsol Ir2Pt, optimized geometry; size of the total moment = 0.00 μB per atom; density = 22.33 g/cm³; D(E_F) = 3.17 states/eV/cell
1.0
-2.458 -0.838 0.850
1.375 -1.461 -1.855
2.884 -3.493 4.890
Ir Pt
2 1
Cartesian
2.003 -3.562 2.279
-0.202 -2.231 1.607
0.000 0.000 0.000



x.
GGA-PBEsol Ir2Pt, optimized geometry; size of the total moment = 0.00 μB per atom; density = 22.35 g/cm³; D(E_F) = 3.61 states/eV/cell
1.0
-1.127 -1.676 -1.849
-2.237 -1.516 2.736
-1.188 4.400 -1.236
Ir Pt
2 1
Cartesian
-2.654 -0.645 0.175
-1.897 1.854 -0.524
0.000 0.000 0.000



The most stable of them is w.



w.
GGA-PBEsol Ir2Pt, optimized geometry; size of the total moment = 0.00 μB per atom; density = 22.35 g/cm³; D(E_F) = 6.59 states/eV/cell
1.0
3.844 0.000 0.000
0.000 3.855 0.000
-1.922 0.000 5.811
Ir Pt
4 2
Cartesian
0.000 2.891 4.801
1.922 0.964 1.010
1.922 2.891 2.917
0.000 0.964 2.894
0.000 2.891 0.980
1.922 0.964 4.831



x.
GGA-PBEsol Ir2Pt, optimized geometry; size of the total moment = 0.00 μB per atom; density = 22.28 g/cm³; D(E_F) = 3.63 states/eV/cell
1.0
2.728 0.000 0.000
0.000 2.728 0.000
-1.364 -1.364 5.807
Pt Ir
1 2
Cartesian
0.000 0.000 0.000
0.000 0.000 3.813
1.364 1.364 1.994



The most stable of them is x.



w.
GGA-PBEsol Re2IrPt, optimized geometry; size of the total moment = 0.00 μB per atom; density = 21.35 g/cm³; D(E_F) = 2.72 states/eV/cell
1.0
-0.438 1.241 4.169
-3.071 -1.832 2.515
1.151 -2.721 3.223
Re Ir Pt
2 1 1
Cartesian
-1.769 -2.484 7.431
0.000 0.000 0.000
-1.179 -1.656 4.954
-0.590 -0.828 2.477



x.
GGA-PBEsol Re2IrPt, optimized geometry; size of the total moment = 0.00 μB per atom; density = 21.88 g/cm³; D(E_F) = 2.71 states/eV/cell
1.0
2.725 0.000 0.000
0.000 4.391 0.000
0.000 0.000 4.818
Re Pt Ir
2 1 1
Cartesian
0.000 0.000 0.163
0.000 2.195 3.434
1.363 2.195 1.023
1.363 0.000 2.608



The most stable of them is x.



w.
GGA-PBEsol ReIrPt, optimized geometry; size of the total moment = 0.00 μB per atom; density = 21.87 g/cm³; D(E_F) = 2.23 states/eV/cell
1.0
-0.938 2.558 0.164
-2.434 -0.944 0.795
3.404 -0.535 5.104
Re Ir Pt
1 1 1
Cartesian
1.162 0.184 3.776
0.002 1.074 5.964
-1.099 0.900 2.386



x.
GGA-PBEsol ReIrPt, optimized geometry; size of the total moment = 0.00 μB per atom; density = 22.06 g/cm³; D(E_F) = 1.65 states/eV/cell
1.0
-2.409 -0.687 1.078
-0.296 -2.913 -2.517
3.248 -0.686 3.373
Pt Ir Re
1 1 1
Cartesian
-0.716 -2.635 0.172
0.518 -4.253 1.899
1.283 -1.683 1.797



The most stable of them is x.